An optimized crystal structure of LaY4Ge4, computed with GGA-PBE.

Properties
- Energy of formation from the pure elements: -625 meV/atom
- Density of states at the Fermi level: 8.32 states/eV/f.u.
- Space group: No. 86
- Size of the total moment: 0.000 μB/atom
- Calculated volume: 28.625 Å³/atom
- ρ: 5.060 g/cm3

Lattice parameters (Å, degrees): 9.430 9.430 5.795 90.00 90.00 90.00
Atoms (fractional coordinates):
La 0.250 0.250 0.250
La 0.750 0.750 0.750
Y 0.099 0.641 0.137
Y 0.141 0.901 0.637
Y 0.359 0.599 0.637
Y 0.401 0.859 0.137
Y 0.599 0.141 0.863
Y 0.641 0.401 0.363
Y 0.859 0.099 0.363
Y 0.901 0.359 0.863
Ge 0.046 0.600 0.644
Ge 0.100 0.954 0.144
Ge 0.400 0.546 0.144
Ge 0.454 0.900 0.644
Ge 0.546 0.100 0.356
Ge 0.600 0.454 0.856
Ge 0.900 0.046 0.856
Ge 0.954 0.400 0.356

***

An optimized crystal structure of Ho2Zn6Ru, computed with GGA-PBE.

Properties
- Energy of formation from the pure elements: -316 meV/atom
- Density of states at the Fermi level: 4.43 states/eV/f.u.
- Space group: No. 12
- Size of the total moment: 0.000 μB/atom
- Calculated volume: 17.715 Å³/atom
- ρ: 8.576 g/cm3

Lattice parameters (Å, degrees): 5.624 5.624 5.829 90.14 90.14 59.87
Atoms (fractional coordinates):
Ho 0.166 0.166 0.140
Ho 0.834 0.834 0.860
Zn 0.148 0.676 0.330
Zn 0.323 0.323 0.669
Zn 0.324 0.852 0.670
Zn 0.676 0.148 0.330
Zn 0.677 0.677 0.331
Zn 0.852 0.324 0.670
Ru 0.500 0.500 0.000

***

An optimized crystal structure of Sc2TeSe, computed with GGA-PBE.

Properties
- Density of states at the Fermi level: 2.20 states/eV/f.u.
- Space group: No. 160
- Size of the total moment: 0.493 μB/atom
- Calculated volume: 32.472 Å³/atom
- ρ: 3.790 g/cm3
- Raw formation energy: -0.82 eV/atom

Lattice parameters (Å, degrees): 9.431 9.431 9.431 24.81 24.81 24.81
Atoms (fractional coordinates):
Sc 0.000 0.000 0.000
Sc 0.231 0.231 0.231
Te 0.508 0.508 0.508
Se 0.708 0.708 0.708

***

An optimized crystal structure of Sm3In7Ir4, computed with GGA-PBE.

Properties
- Energy of formation from the pure elements: -435 meV/atom
- Density of states at the Fermi level: 7.90 states/eV/f.u.
- Space group: No. 12
- Size of the total moment: 0.000 μB/atom
- Calculated volume: 22.374 Å³/atom
- ρ: 10.728 g/cm3

Lattice parameters (Å, degrees): 8.543 8.543 10.094 121.40 121.40 30.34
Atoms (fractional coordinates):
Sm 0.000 0.000 0.000
Sm 0.304 0.304 0.290
Sm 0.696 0.696 0.710
In 0.000 0.000 0.500
In 0.164 0.164 0.430
In 0.317 0.317 0.975
In 0.493 0.493 0.715
In 0.507 0.507 0.285
In 0.683 0.683 0.025
In 0.836 0.836 0.570
Ir 0.113 0.113 0.830
Ir 0.334 0.334 0.726
Ir 0.666 0.666 0.274
Ir 0.887 0.887 0.170

***

An optimized crystal structure of Al2VCr2, computed with GGA-PBE.

Properties
- Energy of formation from the pure elements: 256 meV/atom
- Density of states at the Fermi level: 4.86 states/eV/f.u.
- Space group: No. 127
- Size of the total moment: 0.326 μB/atom
- Calculated volume: 14.049 Å³/atom
- ρ: 4.938 g/cm3

Lattice parameters (Å, degrees): 6.462 6.462 3.365 90.00 90.00 90.00
Atoms (fractional coordinates):
Al 0.154 0.346 0.000
Al 0.346 0.846 0.000
Al 0.654 0.154 0.000
Al 0.846 0.654 0.000
V 0.000 0.000 0.500
V 0.500 0.500 0.500
Cr 0.147 0.647 0.500
Cr 0.353 0.147 0.500
Cr 0.647 0.853 0.500
Cr 0.853 0.353 0.500

***

An optimized crystal structure of Ca2ScIr2, computed with GGA-PBE.

Properties
- Energy of formation from the pure elements: -428 meV/atom
- Density of states at the Fermi level: 4.99 states/eV/f.u.
- Space group: No. 127
- Size of the total moment: 0.000 μB/atom
- Calculated volume: 22.536 Å³/atom
- ρ: 7.509 g/cm3

Lattice parameters (Å, degrees): 6.974 6.974 4.633 90.00 90.00 90.00
Atoms (fractional coordinates):
Ca 0.171 0.329 0.000
Ca 0.329 0.829 0.000
Ca 0.671 0.171 0.000
Ca 0.829 0.671 0.000
Sc 0.000 0.000 0.500
Sc 0.500 0.500 0.500
Ir 0.128 0.628 0.500
Ir 0.372 0.128 0.500
Ir 0.628 0.872 0.500
Ir 0.872 0.372 0.500

***

An optimized crystal structure of BaZn2HgPt, computed with GGA-PBE.

Properties
- Energy of formation from the pure elements: -409 meV/atom
- Density of states at the Fermi level: 2.99 states/eV/f.u.
- Space group: No. 123
- Size of the total moment: 0.000 μB/atom
- Calculated volume: 26.218 Å³/atom
- ρ: 8.409 g/cm3

Lattice parameters (Å, degrees): 4.959 4.959 5.330 90.00 90.00 90.00
Atoms (fractional coordinates):
Ba 0.000 0.000 0.000
Zn 0.000 0.500 0.500
Zn 0.500 0.000 0.500
Hg 0.500 0.500 0.000
Pt 0.500 0.500 0.500

***

An optimized crystal structure of CeNdPt10, computed with GGA-PBE.

Properties
- Energy of formation from the pure elements: -719 meV/atom
- Density of states at the Fermi level: 13.85 states/eV/f.u.
- Space group: No. 47
- Size of the total moment: 0.038 μB/atom
- Calculated volume: 18.789 Å³/atom
- ρ: 16.462 g/cm3

Lattice parameters (Å, degrees): 4.451 5.417 9.352 90.00 90.00 90.00
Atoms (fractional coordinates):
Ce 0.000 0.000 0.000
Nd 0.000 0.500 0.500
Pt 0.000 0.000 0.331
Pt 0.000 0.000 0.669
Pt 0.000 0.500 0.165
Pt 0.000 0.500 0.835
Pt 0.500 0.000 0.500
Pt 0.500 0.250 0.250
Pt 0.500 0.250 0.750
Pt 0.500 0.500 0.000
Pt 0.500 0.750 0.250
Pt 0.500 0.750 0.750

***

An optimized crystal structure of BaAgPt3, computed with GGA-PBE.

Properties
- Energy of formation from the pure elements: 374 meV/atom
- Density of states at the Fermi level: 4.86 states/eV/f.u.
- Space group: No. 221
- Size of the total moment: 0.000 μB/atom
- Calculated volume: 25.537 Å³/atom
- ρ: 10.800 g/cm3

Lattice parameters (Å, degrees): 5.036 5.036 5.036 90.00 90.00 90.00
Atoms (fractional coordinates):
Ba 0.000 0.000 0.000
Ag 0.500 0.500 0.500
Pt 0.000 0.500 0.500
Pt 0.500 0.000 0.500
Pt 0.500 0.500 0.000

***

An optimized crystal structure of MgAlSb2, computed with GGA-PBE.

Properties
- Density of states at the Fermi level: 2.31 states/eV/f.u.
- Space group: No. 216
- Size of the total moment: 0.000 μB/atom
- Calculated volume: 24.526 Å³/atom
- ρ: 4.990 g/cm3
- Raw formation energy: 0.18 eV/atom

Lattice parameters (Å, degrees): 5.177 5.177 5.177 60.00 60.00 60.00
Atoms (fractional coordinates):
Mg 0.000 0.000 0.000
Al 0.250 0.250 0.250
Sb 0.500 0.500 0.500
Sb 0.750 0.750 0.750

***

An optimized crystal structure of PrEr4Tm10, computed with GGA-PBE.

Properties
- Energy of formation from the pure elements: 498 meV/atom
- Density of states at the Fermi level: 27.53 states/eV/f.u.
- Space group: No. 87
- Size of the total moment: 0.000 μB/atom
- Calculated volume: 33.447 Å³/atom
- ρ: 8.272 g/cm3

Lattice parameters (Å, degrees): 8.688 8.688 8.688 112.18 112.18 104.18
Atoms (fractional coordinates):
Pr 0.000 0.000 0.000
Er 0.206 0.445 0.651
Er 0.445 0.794 0.239
Er 0.555 0.206 0.761
Er 0.794 0.555 0.349
Tm 0.047 0.389 0.099
Tm 0.051 0.953 0.342
Tm 0.250 0.750 0.500
Tm 0.290 0.949 0.901
Tm 0.389 0.290 0.342
Tm 0.611 0.710 0.658
Tm 0.710 0.051 0.099
Tm 0.750 0.250 0.500
Tm 0.949 0.047 0.658
Tm 0.953 0.611 0.901

***

An optimized crystal structure of Li2Ga2Pd, computed with GGA-PBE.

Properties
- Energy of formation from the pure elements: -467 meV/atom
- Density of states at the Fermi level: 1.57 states/eV/f.u.
- Space group: No. 63
- Size of the total moment: 0.000 μB/atom
- Calculated volume: 14.828 Å³/atom
- ρ: 5.818 g/cm3

Lattice parameters (Å, degrees): 8.248 8.248 4.244 90.00 90.00 149.10
Atoms (fractional coordinates):
Li 0.054 0.946 0.750
Li 0.153 0.847 0.250
Li 0.847 0.153 0.750
Li 0.946 0.054 0.250
Ga 0.246 0.754 0.750
Ga 0.449 0.551 0.750
Ga 0.551 0.449 0.250
Ga 0.754 0.246 0.250
Pd 0.344 0.656 0.250
Pd 0.656 0.344 0.750

***

An optimized crystal structure of CeSmYSe3, computed with GGA-PBE.

Properties
- Density of states at the Fermi level: 7.86 states/eV/f.u.
- Space group: No. 11
- Size of the total moment: 0.146 μB/atom
- Calculated volume: 25.682 Å³/atom
- ρ: 6.641 g/cm3
- Raw formation energy: -1.75 eV/atom

Lattice parameters (Å, degrees): 7.220 4.036 10.849 90.00 102.86 90.00
Atoms (fractional coordinates):
Ce 0.158 0.250 0.195
Ce 0.842 0.750 0.805
Sm 0.265 0.750 0.557
Sm 0.735 0.250 0.443
Y 0.378 0.250 0.870
Y 0.622 0.750 0.130
Se 0.047 0.250 0.669
Se 0.221 0.750 0.001
Se 0.443 0.750 0.339
Se 0.557 0.250 0.661
Se 0.779 0.250 0.999
Se 0.953 0.750 0.331

***

An optimized crystal structure of NdPtAu3, computed with GGA-PBE.

Properties
- Energy of formation from the pure elements: -276 meV/atom
- Density of states at the Fermi level: 2.62 states/eV/f.u.
- Space group: No. 119
- Size of the total moment: 0.000 μB/atom
- Calculated volume: 26.022 Å³/atom
- ρ: 11.872 g/cm3

Lattice parameters (Å, degrees): 10.024 10.024 10.024 149.40 149.40 43.82
Atoms (fractional coordinates):
Nd 0.173 0.173 0.000
Nd 0.827 0.827 0.000
Pt 0.250 0.750 0.500
Pt 0.500 0.500 0.000
Au 0.374 0.623 0.751
Au 0.377 0.129 0.751
Au 0.377 0.626 0.249
Au 0.573 0.073 0.500
Au 0.871 0.623 0.249
Au 0.927 0.427 0.500

***

An optimized crystal structure of Nb2AlAs, computed with GGA-PBE.

Properties
- Energy of formation from the pure elements: 531 meV/atom
- Density of states at the Fermi level: 3.51 states/eV/f.u.
- Space group: No. 166
- Size of the total moment: 0.000 μB/atom
- Calculated volume: 26.190 Å³/atom
- ρ: 4.561 g/cm3

Lattice parameters (Å, degrees): 7.783 7.783 7.783 30.05 30.05 30.05
Atoms (fractional coordinates):
Nb 0.123 0.123 0.123
Nb 0.877 0.877 0.877
Al 0.000 0.000 0.000
As 0.500 0.500 0.500

***

An optimized crystal structure of Ti3Zn4Au4, computed with GGA-PBE.

Properties
- Energy of formation from the pure elements: -201 meV/atom
- Density of states at the Fermi level: 8.49 states/eV/f.u.
- Space group: No. 71
- Size of the total moment: 0.189 μB/atom
- Calculated volume: 17.313 Å³/atom
- ρ: 10.403 g/cm3

Lattice parameters (Å, degrees): 9.258 9.258 9.258 160.80 132.96 51.25
Atoms (fractional coordinates):
Ti 0.000 0.000 0.000
Ti 0.390 0.890 0.500
Ti 0.610 0.110 0.500
Zn 0.034 0.350 0.683
Zn 0.333 0.650 0.683
Zn 0.667 0.350 0.317
Zn 0.966 0.650 0.317
Au 0.255 0.255 0.000
Au 0.307 0.500 0.807
Au 0.693 0.500 0.193
Au 0.745 0.745 0.000

***

An optimized crystal structure of Dy7Co2Cu2, computed with GGA-PBE.

Properties
- Energy of formation from the pure elements: -41 meV/atom
- Density of states at the Fermi level: 10.66 states/eV/f.u.
- Space group: No. 65
- Size of the total moment: 0.000 μB/atom
- Calculated volume: 24.723 Å³/atom
- ρ: 8.441 g/cm3

Lattice parameters (Å, degrees): 6.551 6.551 6.834 90.00 90.00 111.98
Atoms (fractional coordinates):
Dy 0.000 0.000 0.000
Dy 0.000 0.500 0.256
Dy 0.000 0.500 0.744
Dy 0.500 0.000 0.256
Dy 0.500 0.000 0.744
Dy 0.500 0.500 0.249
Dy 0.500 0.500 0.751
Co 0.300 0.700 0.000
Co 0.700 0.300 0.000
Cu 0.168 0.168 0.500
Cu 0.832 0.832 0.500

***

An optimized crystal structure of Na4BeP2, computed with GGA-PBE.

Properties
- Energy of formation from the pure elements: -375 meV/atom
- Space group: No. 166
- Size of the total moment: 0.000 μB/atom
- Calculated volume: 23.502 Å³/atom
- ρ: 1.644 g/cm3

Lattice parameters (Å, degrees): 8.298 8.298 8.298 34.61 34.61 34.61
Atoms (fractional coordinates):
Na 0.113 0.113 0.113
Na 0.291 0.291 0.291
Na 0.709 0.709 0.709
Na 0.887 0.887 0.887
Be 0.500 0.500 0.500
P 0.415 0.415 0.415
P 0.585 0.585 0.585

***

An optimized crystal structure of NaSrGe, computed with GGA-PBE.

Properties
- Energy of formation from the pure elements: -372 meV/atom
- Density of states at the Fermi level: 1.38 states/eV/f.u.
- Space group: No. 6
- Size of the total moment: 0.000 μB/atom
- Calculated volume: 32.367 Å³/atom
- ρ: 3.134 g/cm3

Lattice parameters (Å, degrees): 4.703 4.192 10.125 90.00 103.37 90.00
Atoms (fractional coordinates):
Na 0.000 0.000 0.000
Na 0.411 0.500 0.821
Sr 0.621 0.500 0.243
Sr 0.788 0.000 0.578
Ge 0.164 0.000 0.329
Ge 0.245 0.500 0.492

***

An optimized crystal structure of BeGeICl2, computed with GGA-PBE.

Properties
- Density of states at the Fermi level: 1.35 states/eV/f.u.
- Space group: No. 123
- Size of the total moment: 0.198 μB/atom
- Calculated volume: 26.718 Å³/atom
- ρ: 3.474 g/cm3
- Raw formation energy: -0.25 eV/atom

Lattice parameters (Å, degrees): 4.307 4.307 7.200 90.00 90.00 90.00
Atoms (fractional coordinates):
Be 0.000 0.000 0.000
Ge 0.500 0.500 0.500
I 0.000 0.000 0.500
Cl 0.000 0.500 0.000
Cl 0.500 0.000 0.000